(1)
Here is CaTbAl after structural relaxation from Alexandria via LeMat-Bulk. Energies are from PBE.

Geometry as POSCAR:
```
CaTbAl
1.0
-4.868 1.664 0.198
-3.596 -2.200 -2.957
-1.534 -5.165 5.706
Al Ca Tb
2 2 2
direct
0.000 0.500 0.823
0.000 0.500 0.177
0.333 0.833 0.636
0.667 0.167 0.364
0.333 0.833 0.099
0.667 0.167 0.901
```

Calculated values
Final energy = -3.580 eV per atom
SG = P-3m1 (164)
Energy of formation from the pure elements = -122 meV per atom
M_tot = 0.00 μB per formula unit
Relative energy among the computed polymorphs = 0.115 eV per atom

=====

(2)
Here is TeH after structural relaxation from Alexandria via LeMat-Bulk. Energies are from PBE.

Geometry as POSCAR:
```
TeH
1.0
-10.504 0.415 -0.557
5.099 -8.658 -3.140
-0.199 -1.165 2.888
H Te
6 6
direct
0.717 0.867 0.750
0.850 0.717 0.250
0.133 0.850 0.750
0.283 0.133 0.250
0.867 0.150 0.250
0.150 0.283 0.750
0.448 0.142 0.250
0.694 0.552 0.250
0.306 0.448 0.750
0.552 0.858 0.750
0.142 0.694 0.750
0.858 0.306 0.250
```

Calculated values
Final energy = -2.971 eV per atom
SG = P6_3/m (176)
M_tot = 0.00 μB per formula unit
Relative energy among the computed polymorphs = 0.111 eV per atom

=====

(3)
Here is SnB after structural relaxation from Alexandria via LeMat-Bulk. Energies are from PBE.

Geometry as POSCAR:
```
SnB
1.0
-7.010 1.453 1.285
0.693 -2.622 6.748
1.811 6.626 2.389
Sn B
8 8
direct
0.665 0.335 0.665
0.165 0.835 0.165
0.165 0.165 0.835
0.335 0.665 0.665
0.835 0.165 0.165
0.335 0.335 0.335
0.665 0.665 0.335
0.835 0.835 0.835
0.341 0.341 0.659
0.841 0.841 0.159
0.159 0.159 0.159
0.659 0.659 0.659
0.159 0.841 0.841
0.841 0.159 0.841
0.341 0.659 0.341
0.659 0.341 0.341
```

Calculated values
Final energy = -4.359 eV per atom
SG = I-43m (217)
Energy of formation from the pure elements = 981 meV per atom
M_tot = 0.00 μB per formula unit
Relative energy among the computed polymorphs = 0.596 eV per atom

=====

(4)
Here is Nb4RhC after structural relaxation from Alexandria via LeMat-Bulk. Energies are from PBE.

Geometry as POSCAR:
```
Nb4RhC
1.0
-3.621 -3.161 2.641
3.961 -3.959 0.693
1.413 2.416 5.727
Rh C Nb
2 2 8
direct
0.500 0.500 0.000
0.000 0.000 0.000
0.000 0.500 0.500
0.500 0.000 0.500
0.593 0.108 0.809
0.148 0.856 0.606
0.907 0.608 0.191
0.352 0.356 0.394
0.648 0.644 0.606
0.407 0.892 0.191
0.852 0.144 0.394
0.093 0.392 0.809
```

Calculated values
Final energy = -9.521 eV per atom
SG = P2_1/c (14)
Energy of formation from the pure elements = -45 meV per atom
M_tot = 0.00 μB per formula unit

=====

(5)
Here is CdPH after structural relaxation from Alexandria via LeMat-Bulk. Energies are from PBE.

Geometry as POSCAR:
```
CdPH
1.0
-1.206 -4.593 2.580
3.175 0.505 2.384
-2.385 2.154 2.720
Cd H P
2 2 2
direct
0.000 0.000 0.469
0.000 0.500 0.969
0.000 0.500 0.471
0.000 0.000 0.971
0.500 0.000 0.473
0.500 0.500 0.973
```

Calculated values
Final energy = -2.719 eV per atom
SG = Amm2 (38)
M_tot = 0.00 μB per formula unit
Relative energy among the computed polymorphs = 0.548 eV per atom

=====

(6)
Here is YCo2AsH after structural relaxation from Alexandria via LeMat-Bulk. Energies are from PBE.

Geometry as POSCAR:
```
YCo2AsH
1.0
-1.016 2.075 2.920
-3.711 -3.835 -0.941
3.320 -4.235 4.165
Co As Y H
4 2 2 2
direct
0.161 0.322 0.943
0.161 0.322 0.557
0.839 0.678 0.443
0.839 0.678 0.057
0.275 0.551 0.250
0.725 0.449 0.750
0.444 0.887 0.750
0.556 0.113 0.250
0.000 0.000 0.500
0.000 0.000 0.000
```

Calculated values
Final energy = -6.314 eV per atom
SG = Cmcm (63)
M_tot = 0.00 μB per formula unit

=====

(7)
Here is KGa2Ge2 after structural relaxation from Alexandria via LeMat-Bulk. Energies are from PBE.

Geometry as POSCAR:
```
KGa2Ge2
1.0
-0.966 -7.363 3.906
0.422 -3.970 -7.380
3.201 -0.251 0.318
K Ge Ga
2 4 4
direct
0.500 0.500 0.000
0.000 0.000 0.000
0.132 0.368 0.000
0.368 0.868 0.000
0.632 0.132 0.000
0.868 0.632 0.000
0.645 0.855 0.500
0.145 0.645 0.500
0.855 0.355 0.500
0.355 0.145 0.500
```

Calculated values
Final energy = -3.215 eV per atom
SG = P4/mbm (127)
Energy of formation from the pure elements = 62 meV per atom
M_tot = 0.00 μB per formula unit
Relative energy among the computed polymorphs = 0.196 eV per atom

=====

(8)
Here is CaMg2Os after structural relaxation from Alexandria via LeMat-Bulk. Energies are from PBE.

Geometry as POSCAR:
```
CaMg2Os
1.0
-4.478 0.755 1.899
-4.690 -1.494 0.052
0.736 -3.917 4.685
Ca Os Mg
1 1 2
direct
0.761 0.761 0.717
0.504 0.504 0.453
0.243 0.243 0.269
0.992 0.992 0.061
```

Calculated values
Final energy = -3.744 eV per atom
SG = Cm (8)
Energy of formation from the pure elements = 361 meV per atom
M_tot = 0.00 μB per formula unit

=====

(9)
Here is PuPaRh2 after structural relaxation from Alexandria via LeMat-Bulk. Energies are from PBE.

Geometry as POSCAR:
```
PuPaRh2
1.0
-0.941 3.396 1.688
-2.588 2.380 -1.707
-6.207 -1.137 3.351
Pa Rh Pu
1 2 1
direct
0.000 0.000 0.000
0.745 0.745 0.764
0.255 0.255 0.236
0.500 0.500 0.500
```

Calculated values
Final energy = -10.177 eV per atom
SG = R-3m (166)
Energy of formation from the pure elements = -544 meV per atom
M_tot = 5.33 μB per formula unit
Relative energy among the computed polymorphs = 0.027 eV per atom

=====

(10)
Here is PuTlF6 after structural relaxation from Alexandria via LeMat-Bulk. Energies are from PBE.

Geometry as POSCAR:
```
PuTlF6
1.0
2.161 1.462 6.323
4.025 -4.406 3.343
6.576 1.530 1.099
F Pu Tl
6 1 1
direct
0.215 0.785 0.785
0.785 0.215 0.215
0.215 0.785 0.215
0.785 0.785 0.215
0.215 0.215 0.785
0.785 0.215 0.785
0.000 0.000 0.000
0.500 0.500 0.500
```

Calculated values
Formation energy from raw total energies = -2.899 eV/atom
Final energy = -6.390 eV per atom
SG = Fm-3m (225)
M_tot = 3.00 μB per formula unit
Relative energy among the computed polymorphs = 0.000 eV per atom

=====

Q: Among the records above, which one has the highest M_tot?
A: PuPaRh2

=====

Q: Among the records above, which one has the lowest final energy?
A: PuPaRh2

=====

Copy entry 9 word for word.
Here is PuPaRh2 after structural relaxation from Alexandria via LeMat-Bulk. Energies are from PBE.

Geometry as POSCAR:
```
PuPaRh2
1.0
-0.941 3.396 1.688
-2.588 2.380 -1.707
-6.207 -1.137 3.351
Pa Rh Pu
1 2 1
direct
0.000 0.000 0.000
0.745 0.745 0.764
0.255 0.255 0.236
0.500 0.500 0.500
```

Calculated values
Final energy = -10.177 eV per atom
SG = R-3m (166)
Energy of formation from the pure elements = -544 meV per atom
M_tot = 5.33 μB per formula unit
Relative energy among the computed polymorphs = 0.027 eV per atom

=====

Please write out number 4 again, unchanged.
Here is Nb4RhC after structural relaxation from Alexandria via LeMat-Bulk. Energies are from PBE.

Geometry as POSCAR:
```
Nb4RhC
1.0
-3.621 -3.161 2.641
3.961 -3.959 0.693
1.413 2.416 5.727
Rh C Nb
2 2 8
direct
0.500 0.500 0.000
0.000 0.000 0.000
0.000 0.500 0.500
0.500 0.000 0.500
0.593 0.108 0.809
0.148 0.856 0.606
0.907 0.608 0.191
0.352 0.356 0.394
0.648 0.644 0.606
0.407 0.892 0.191
0.852 0.144 0.394
0.093 0.392 0.809
```

Calculated values
Final energy = -9.521 eV per atom
SG = P2_1/c (14)
Energy of formation from the pure elements = -45 meV per atom
M_tot = 0.00 μB per formula unit